A relaxed structure of Be2FeSe. Source: the Alexandria database, functional GGA-PBE.

The structure in POSCAR format:
```
Be2FeSe
1.0
-3.2309 6.5440 1.0676
-4.2447 5.0725 3.2643
-1.6992 6.3011 3.4368
Be Fe Se
2 1 1
Cartesian
-9.1351 17.8398 7.7349 Be
-4.6273 9.0365 3.9180 Be
-2.2937 4.4794 1.9422 Fe
-6.8812 13.4382 5.8265 Se
```

Output
crystal system: trigonal

A relaxed structure of Be2FeSe. Source: the Alexandria database, functional GGA-PBE.

The structure in POSCAR format:
```
Be2FeSe
1.0
3.5714 0.0000 0.0000
0.0000 2.6430 -0.0008
0.0000 1.3178 5.2640
Be Fe Se
2 1 1
Cartesian
0.0000 0.8212 0.2738 Be
1.7857 0.8314 1.5247 Be
0.0000 2.1475 2.0814 Fe
1.7857 2.1412 4.0148 Se
```

Output
crystal system: monoclinic

A relaxed structure of Be2FeSe. Source: the Alexandria database, functional GGA-PBE.

The structure in POSCAR format:
```
Be2FeSe
1.0
3.3553 0.0000 0.0000
0.0000 4.0987 0.0247
0.0000 4.0881 3.2915
Be Fe Se
2 1 1
Cartesian
0.0000 0.0000 0.0000 Be
1.6777 2.0493 0.0124 Be
1.6777 4.0934 1.6581 Fe
0.0000 2.0440 1.6458 Se
```

Output
crystal system: monoclinic

A relaxed structure of Be2FeSe. Source: the Alexandria database, functional GGA-PBE.

The structure in POSCAR format:
```
Be2FeSe
1.0
3.1231 0.0000 0.0000
0.0000 3.1231 0.0000
0.0000 0.0000 4.7142
Be Fe Se
2 1 1
Cartesian
0.0000 0.0000 0.0963 Be
1.5615 1.5615 1.1530 Be
0.0000 0.0000 2.2801 Fe
1.5615 1.5615 3.5420 Se
```

Output
crystal system: tetragonal

Number 1: theoretical density 5.1 g cm⁻³, ΔE_f (raw) 461.4 meV per atom. Number 2: theoretical density 5.1 g cm⁻³, ΔE_f (raw) 158.2 meV per atom. Number 3: theoretical density 5.6 g cm⁻³, ΔE_f (raw) 257.5 meV per atom. Number 4: theoretical density 5.5 g cm⁻³, ΔE_f (raw) 180.6 meV per atom.